Record 1
LaAu5S4: optimized geometry, GGA-PBE.

Values from the calculation:
Final energy, eV per atom: -4.2994
Raw formation energy, eV per atom: -0.52
Crystal system: triclinic
Magnetic moment, Bohr magnetons per cell: 0.00

Cell: 4.5774 7.6396 7.2188 Å, 105.66 93.71 89.77°
With the nearest neighbours (Å) after each atom.
Element x y z (fractional)
S 0.6730 0.2475 0.7673  3 Au 2.33-2.43
S 0.9906 0.8238 0.7651  2 Au 2.34-2.35
S 0.3270 0.7525 0.2327  3 Au 2.33-2.43
Au 0.3191 0.2091 0.5131  2 S 2.33-2.34
Au 0.5000 0.5000 0.0000  2 S 2.36
Au 0.6809 0.7909 0.4869  2 S 2.33-2.34
Au 0.0582 0.4894 0.2655  2 S 2.35-2.43
La 0.5000 0.0000 0.0000  6 S 2.90-2.99
Au 0.9418 0.5106 0.7345  2 S 2.35-2.43
S 0.0094 0.1762 0.2349  2 Au 2.34-2.35

Record 2
ThSc5Ga4: optimized geometry, GGA-PBE.

Values from the calculation:
Final energy, eV per atom: -5.5892
ΔE_f, meV per atom: -471
Crystal system: tetragonal
Magnetic moment, Bohr magnetons per cell: 0.00

Cell: 3.3598 3.3598 18.3580 Å, 90.00 90.00 90.00°
With the nearest neighbours (Å) after each atom.
Element x y z (fractional)
Sc 0.5000 0.5000 0.8676  4 Ga 2.89
Ga 0.0000 0.0000 0.2223  8 Sc 2.89-2.94
Ga 0.0000 0.0000 0.7777  8 Sc 2.89-2.94
Sc 0.5000 0.5000 0.3162  8 Ga 2.91-2.94
Ga 0.0000 0.0000 0.5920  8 Sc 2.91-2.92
Sc 0.5000 0.5000 0.5000  8 Ga 2.92
Sc 0.5000 0.5000 0.6838  8 Ga 2.91-2.94
Sc 0.5000 0.5000 0.1324  4 Ga 2.89
Th 0.0000 0.0000 0.0000  4 Th 3.36, 8 Sc 3.40
Ga 0.0000 0.0000 0.4080  8 Sc 2.91-2.92

Copy entry 1 word for word.
LaAu5S4: optimized geometry, GGA-PBE.

Values from the calculation:
Final energy, eV per atom: -4.2994
Raw formation energy, eV per atom: -0.52
Crystal system: triclinic
Magnetic moment, Bohr magnetons per cell: 0.00

Cell: 4.5774 7.6396 7.2188 Å, 105.66 93.71 89.77°
With the nearest neighbours (Å) after each atom.
Element x y z (fractional)
S 0.6730 0.2475 0.7673  3 Au 2.33-2.43
S 0.9906 0.8238 0.7651  2 Au 2.34-2.35
S 0.3270 0.7525 0.2327  3 Au 2.33-2.43
Au 0.3191 0.2091 0.5131  2 S 2.33-2.34
Au 0.5000 0.5000 0.0000  2 S 2.36
Au 0.6809 0.7909 0.4869  2 S 2.33-2.34
Au 0.0582 0.4894 0.2655  2 S 2.35-2.43
La 0.5000 0.0000 0.0000  6 S 2.90-2.99
Au 0.9418 0.5106 0.7345  2 S 2.35-2.43
S 0.0094 0.1762 0.2349  2 Au 2.34-2.35